1.
# TaAlZn

TaAlZn after structural relaxation (PBE, the Alexandria database).

Cell lengths 5.058, 5.058, 5.058 Å; angles 90.29, 120.81, 118.87 degrees
Element x y z (fractional)
Zn: 0.000 0.500 0.000
Al: 0.000 0.500 0.500
Ta: 0.250 0.121 0.871
Zn: 0.500 0.500 0.500
Al: 0.500 0.000 0.500
Ta: 0.750 0.879 0.129

E = -5.866 eV per atom



2.
# ReRu2S

ReRu2S after structural relaxation (PBE, the Alexandria database).

Cell lengths 5.495, 5.698, 9.025 Å; angles 90.00, 126.30, 90.00 degrees
Element x y z (fractional)
Re: 0.676 0.742 0.887
Re: 0.676 0.758 0.387
S: 0.269 0.000 0.695
Ru: 0.048 0.738 0.776
Re: 0.676 0.258 0.887
Ru: 0.505 0.000 0.079
Ru: 0.523 0.500 0.069
Re: 0.676 0.242 0.387
Ru: 0.505 0.500 0.579
Ru: 0.048 0.238 0.276
Ru: 0.048 0.262 0.776
Ru: 0.523 0.000 0.569
S: 0.269 0.500 0.195
S: 0.072 0.000 0.062
S: 0.072 0.500 0.562
Ru: 0.048 0.762 0.276

E = -8.669 eV per atom



3.
# Tm4MgCd3

Tm4MgCd3 after structural relaxation (PBE, the Alexandria database).

Cell lengths 3.488, 4.924, 12.079 Å; angles 90.00, 90.00, 90.00 degrees
Element x y z (fractional)
Mg: 0.500 0.500 0.067
Tm: 0.000 0.000 0.169
Tm: 0.500 0.500 0.337
Tm: 0.500 0.000 0.664
Cd: 0.500 0.000 0.930
Tm: 0.000 0.500 0.832
Cd: 0.000 0.000 0.430
Cd: 0.000 0.500 0.572

energy relative to the lowest polymorph listed for this composition = 57.8 meV per atom
E = -2.968 eV per atom